Computed, not measured: NaCrCdF6 after structural relaxation at the PBE+U level of DFT.

The structure in extended XYZ format:
```
18
Lattice="5.520 0.000 0.000 -2.760 4.781 0.000 0.000 0.000 9.366" Properties=species:S:1:pos:R:3 pbc="T T T"
Na 0.000 3.187 2.341
Na 2.760 1.594 7.024
Cr 0.000 3.187 7.024
Cr 2.760 1.594 2.341
Cd 0.000 0.000 0.000
Cd 0.000 0.000 4.683
F -0.770 1.762 5.928
F -1.619 3.232 8.120
F 0.770 1.762 8.120
F -0.849 4.566 5.928
F 1.911 0.214 1.246
F 1.141 1.548 3.437
F 1.619 3.232 5.928
F 0.849 4.566 8.120
F 3.609 0.214 3.437
F 1.990 3.018 1.246
F 4.379 1.548 1.246
F 3.530 3.018 3.437
```

Results
The final energy is -4.92 eV/atom.